Model i:
## SrCoTc2 (GGA-PBE)

Data for a geometry-optimized SrCoTc2 structure.

CIF file:
```
data_SrCoTc2
_chemical_formula_sum 'Sr1 Co1 Tc2'
_symmetry_space_group_name_H-M 'P 4/m m m'
_symmetry_Int_Tables_number 123
_symmetry_space_group_name_Hall '-P 4 2'
_cell_length_a 3.752
_cell_length_b 3.752
_cell_length_c 4.982
_cell_angle_alpha 90.00
_cell_angle_beta 90.00
_cell_angle_gamma 90.00
loop_
_atom_site_label
_atom_site_type_symbol
_atom_site_fract_x
_atom_site_fract_y
_atom_site_fract_z
Sr1 Sr 0.000 0.000 0.000
Co1 Co 0.500 0.500 0.000
Tc1 Tc 0.000 0.500 0.500
```



Model ii:
## SrCoTc2 (GGA-PBE)

Data for a geometry-optimized SrCoTc2 structure.

CIF file:
```
data_SrCoTc2
_chemical_formula_sum 'Sr4 Co4 Tc8'
_symmetry_space_group_name_H-M 'F -4 3 m'
_symmetry_Int_Tables_number 216
_symmetry_space_group_name_Hall 'F -4 2 3'
_cell_length_a 6.471
_cell_length_b 6.471
_cell_length_c 6.471
_cell_angle_alpha 90.00
_cell_angle_beta 90.00
_cell_angle_gamma 90.00
loop_
_atom_site_label
_atom_site_type_symbol
_atom_site_fract_x
_atom_site_fract_y
_atom_site_fract_z
Sr1 Sr 0.000 0.000 0.000
Co1 Co 0.250 0.250 0.750
Tc1 Tc 0.000 0.000 0.500
Tc2 Tc 0.250 0.250 0.250
```



Model iii:
## SrCoTc2 (GGA-PBE)

Data for a geometry-optimized SrCoTc2 structure.

CIF file:
```
data_SrCoTc2
_chemical_formula_sum 'Sr2 Co2 Tc4'
_symmetry_space_group_name_H-M 'I m m 2'
_symmetry_Int_Tables_number 44
_cell_length_a 3.172
_cell_length_b 5.219
_cell_length_c 8.995
_cell_angle_alpha 90.00
_cell_angle_beta 90.00
_cell_angle_gamma 90.00
loop_
_symmetry_equiv_pos_as_xyz
'x,y,z'
'-x,-y,z'
'-x,y,z'
'x,-y,z'
'x+1/2,y+1/2,z+1/2'
'-x+1/2,-y+1/2,z+1/2'
'-x+1/2,y+1/2,z+1/2'
'x+1/2,-y+1/2,z+1/2'
loop_
_atom_site_label
_atom_site_type_symbol
_atom_site_fract_x
_atom_site_fract_y
_atom_site_fract_z
Sr1 Sr 0.000 0.000 0.000
Co1 Co 0.000 0.500 0.212
Tc1 Tc 0.000 0.000 0.505
Tc2 Tc 0.000 0.500 0.800
```



Relative energy table, unit meV/atom: model i 192; model ii 0; model iii 12



Model i:
## SrCo3Tc (GGA-PBE)

Data for a geometry-optimized SrCo3Tc structure.

CIF file:
```
data_SrCo3Tc
_chemical_formula_sum 'Sr1 Co3 Tc1'
_symmetry_space_group_name_H-M 'P m -3 m'
_symmetry_Int_Tables_number 221
_symmetry_space_group_name_Hall '-P 4 2 3'
_cell_length_a 4.574
_cell_length_b 4.574
_cell_length_c 4.574
_cell_angle_alpha 90.00
_cell_angle_beta 90.00
_cell_angle_gamma 90.00
loop_
_atom_site_label
_atom_site_type_symbol
_atom_site_fract_x
_atom_site_fract_y
_atom_site_fract_z
Sr1 Sr 0.000 0.000 0.000
Co1 Co 0.000 0.500 0.500
Tc1 Tc 0.500 0.500 0.500
```



Model ii:
## SrCo3Tc (GGA-PBE)

Data for a geometry-optimized SrCo3Tc structure.

CIF file:
```
data_SrCo3Tc
_chemical_formula_sum 'Sr1 Co3 Tc1'
_symmetry_space_group_name_H-M 'P m -3 m'
_symmetry_Int_Tables_number 221
_symmetry_space_group_name_Hall '-P 4 2 3'
_cell_length_a 4.557
_cell_length_b 4.557
_cell_length_c 4.557
_cell_angle_alpha 90.00
_cell_angle_beta 90.00
_cell_angle_gamma 90.00
loop_
_atom_site_label
_atom_site_type_symbol
_atom_site_fract_x
_atom_site_fract_y
_atom_site_fract_z
Sr1 Sr 0.000 0.000 0.000
Co1 Co 0.000 0.000 0.500
Tc1 Tc 0.500 0.500 0.500
```



Relative energy table, unit meV/atom: model i 0; model ii 1622



Model i:
## SrCo3Te (GGA-PBE)

Data for a geometry-optimized SrCo3Te structure.

CIF file:
```
data_SrCo3Te
_chemical_formula_sum 'Sr1 Co3 Te1'
_symmetry_space_group_name_H-M 'P m -3 m'
_symmetry_Int_Tables_number 221
_symmetry_space_group_name_Hall '-P 4 2 3'
_cell_length_a 4.756
_cell_length_b 4.756
_cell_length_c 4.756
_cell_angle_alpha 90.00
_cell_angle_beta 90.00
_cell_angle_gamma 90.00
loop_
_atom_site_label
_atom_site_type_symbol
_atom_site_fract_x
_atom_site_fract_y
_atom_site_fract_z
Sr1 Sr 0.000 0.000 0.000
Co1 Co 0.000 0.500 0.500
Te1 Te 0.500 0.500 0.500
```



Model ii:
## SrCo3Te (GGA-PBE)

Data for a geometry-optimized SrCo3Te structure.

CIF file:
```
data_SrCo3Te
_chemical_formula_sum 'Sr1 Co3 Te1'
_symmetry_space_group_name_H-M 'P m -3 m'
_symmetry_Int_Tables_number 221
_symmetry_space_group_name_Hall '-P 4 2 3'
_cell_length_a 4.795
_cell_length_b 4.795
_cell_length_c 4.795
_cell_angle_alpha 90.00
_cell_angle_beta 90.00
_cell_angle_gamma 90.00
loop_
_atom_site_label
_atom_site_type_symbol
_atom_site_fract_x
_atom_site_fract_y
_atom_site_fract_z
Sr1 Sr 0.000 0.000 0.000
Co1 Co 0.000 0.000 0.500
Te1 Te 0.500 0.500 0.500
```



Relative energy table, unit meV/atom: model i 0; model ii 1393